Record 1
The following is a DFT calculation (PBE-GGA) of crystalline RuPbS2N at its relaxed geometry.

abc: 5.026 5.026 3.745
angles: 90.00 90.00 90.00
Space group P4/mmm (No. 123)
Inequivalent atoms, fractional coordinates:
1 Ru 0.000 0.000 0.000 (multiplicity 1)
2 Pb 0.500 0.500 0.500 (multiplicity 1)
3 S 0.000 0.500 0.000 (multiplicity 2)
4 N 0.000 0.000 0.500 (multiplicity 1)

Summary:
**Distance to the lowest polymorph of the same formula**: 0 meV per atom
**E_form (uncorrected)**: 137 meV/atom

=====

Record 2
The following is a DFT calculation (PBE-GGA) of crystalline Li2AgCl4 at its relaxed geometry.

abc: 12.116 14.638 6.970
angles: 90.00 90.00 90.00
Space group Fdd2 (No. 43)
Inequivalent atoms, fractional coordinates:
1 Li 0.036 0.212 0.000 (multiplicity 16)
2 Ag 0.000 0.000 0.259 (multiplicity 8)
3 Cl 0.119 0.313 0.749 (multiplicity 16)
4 Cl 0.122 0.315 0.262 (multiplicity 16)

Summary:
**Distance to the lowest polymorph of the same formula**: 0 meV per atom
**E_form (uncorrected)**: -1153 meV/atom

=====

Record 3
The following is a DFT calculation (PBE-GGA) of crystalline Nb2HO at its relaxed geometry.

abc: 4.625 4.625 9.324
angles: 90.00 90.00 90.00
Space group I-42d (No. 122)
Inequivalent atoms, fractional coordinates:
1 Nb 0.229 0.250 0.125 (multiplicity 8)
2 H 0.000 0.000 0.000 (multiplicity 4)
3 O 0.000 0.000 0.500 (multiplicity 4)

Summary:
**Distance to the lowest polymorph of the same formula**: 116 meV per atom

=====

Record 4
The following is a DFT calculation (PBE-GGA) of crystalline CaPaSeO5 at its relaxed geometry.

abc: 7.648 9.840 8.703
angles: 90.00 112.92 90.00
Space group C2/c (No. 15)
Inequivalent atoms, fractional coordinates:
1 Ca 0.000 0.222 0.250 (multiplicity 4)
2 Pa 0.000 0.500 0.000 (multiplicity 4)
3 Se 0.000 0.110 0.750 (multiplicity 4)
4 O 0.000 0.464 0.250 (multiplicity 4)
5 O 0.006 0.295 0.503 (multiplicity 8)
6 O 0.157 0.009 0.381 (multiplicity 8)

Summary:
**E_form (uncorrected)**: -2409 meV/atom

=====

Record 5
The following is a DFT calculation (PBE-GGA) of crystalline KPuCuO6 at its relaxed geometry.

abc: 5.758 8.773 5.955
angles: 90.00 94.47 90.00
Space group C2 (No. 5)
Inequivalent atoms, fractional coordinates:
1 K 0.000 0.000 0.000 (multiplicity 2)
2 Pu 0.000 0.635 0.500 (multiplicity 2)
3 Cu 0.000 0.299 0.500 (multiplicity 2)
4 O 0.117 0.459 0.689 (multiplicity 4)
5 O 0.145 0.761 0.724 (multiplicity 4)
6 O 0.187 0.159 0.657 (multiplicity 4)

Summary:
**E_form (uncorrected)**: -1506 meV/atom

=====

Record 6
The following is a DFT calculation (PBE-GGA) of crystalline NdPa2PdN5 at its relaxed geometry.

abc: 3.595 12.985 11.336
angles: 90.00 90.00 90.00
Space group Cmc2_1 (No. 36)
Inequivalent atoms, fractional coordinates:
1 Nd 0.000 0.209 0.000 (multiplicity 4)
2 Pa 0.000 0.096 0.697 (multiplicity 4)
3 Pa 0.000 0.154 0.279 (multiplicity 4)
4 Pd 0.000 0.480 0.472 (multiplicity 4)
5 N 0.000 0.061 0.114 (multiplicity 4)
6 N 0.000 0.267 0.683 (multiplicity 4)
7 N 0.000 0.334 0.359 (multiplicity 4)
8 N 0.000 0.385 0.074 (multiplicity 4)
9 N 0.000 0.448 0.809 (multiplicity 4)

Summary:
**E_form (uncorrected)**: -947 meV/atom

=====

Record 7
The following is a DFT calculation (PBE-GGA) of crystalline TiH12N4F8 at its relaxed geometry.

abc: 5.512 13.873 11.016
angles: 90.00 90.00 90.00
Space group Pccn (No. 56)
Inequivalent atoms, fractional coordinates:
1 Ti 0.250 0.250 0.125 (multiplicity 4)
2 H 0.005 0.557 0.143 (multiplicity 8)
3 H 0.007 0.059 0.892 (multiplicity 8)
4 H 0.107 0.666 0.555 (multiplicity 8)
5 H 0.114 0.665 0.197 (multiplicity 8)
6 H 0.218 0.559 0.500 (multiplicity 8)
7 H 0.227 0.559 0.252 (multiplicity 8)
8 N 0.153 0.595 0.579 (multiplicity 8)
9 N 0.164 0.594 0.173 (multiplicity 8)
10 F 0.009 0.232 0.503 (multiplicity 8)
11 F 0.009 0.233 0.747 (multiplicity 8)
12 F 0.185 0.117 0.126 (multiplicity 8)
13 F 0.234 0.000 0.377 (multiplicity 8)

Summary:
**VASP energy**: -5.252 eV per atom

=====

Record 8
The following is a DFT calculation (PBE-GGA) of crystalline BaIr2PtO8 at its relaxed geometry.

abc: 6.484 6.261 8.586
angles: 90.00 92.16 90.00
Space group C2/m (No. 12)
Inequivalent atoms, fractional coordinates:
1 Ba 0.000 0.000 0.000 (multiplicity 2)
2 Ir 0.025 0.500 0.689 (multiplicity 4)
3 Pt 0.000 0.000 0.500 (multiplicity 2)
4 O 0.000 0.197 0.307 (multiplicity 8)
5 O 0.123 0.500 0.892 (multiplicity 4)
6 O 0.182 0.500 0.496 (multiplicity 4)

Summary:
**E_form (uncorrected)**: -821 meV/atom